No. 1
# CoCuReGe PBE-GGA relaxed
data_CoCuReGe
_space_group_name_H-M_alt 'F -4 3 m'
_space_group_IT_number 216
_space_group_name_Hall 'F -4 2 3'
_cell_length_a 5.927
_cell_length_b 5.927
_cell_length_c 5.927
_cell_angle_alpha 90.00
_cell_angle_beta 90.00
_cell_angle_gamma 90.00
loop_
_atom_site_label
_atom_site_fract_x
_atom_site_fract_y
_atom_site_fract_z
Co1 0.000 0.000 0.000
Cu1 0.250 0.250 0.750
Re1 0.250 0.250 0.250
Ge1 0.000 0.000 0.500
# crystal system	cubic
# total DFT energy (no corrections)	-6.688	eV per atom
# energy above the lowest structure with this stoichiometry	0.002	eV per atom

No. 2
# GaCuW PBE-GGA relaxed
data_GaCuW
_space_group_name_H-M_alt 'F -4 3 m'
_space_group_IT_number 216
_space_group_name_Hall 'F -4 2 3'
_cell_length_a 5.940
_cell_length_b 5.940
_cell_length_c 5.940
_cell_angle_alpha 90.00
_cell_angle_beta 90.00
_cell_angle_gamma 90.00
loop_
_atom_site_label
_atom_site_fract_x
_atom_site_fract_y
_atom_site_fract_z
Ga1 0.000 0.000 0.000
Cu1 0.000 0.000 0.500
W1 0.250 0.250 0.750
# crystal system	cubic
# total DFT energy (no corrections)	-5.630	eV per atom

No. 3
# AlFe2Se4 PBE-GGA relaxed
data_AlFe2Se4
_space_group_name_H-M_alt 'P 41 2 2'
_space_group_IT_number 91
_cell_length_a 7.323
_cell_length_b 7.323
_cell_length_c 10.317
_cell_angle_alpha 90.00
_cell_angle_beta 90.00
_cell_angle_gamma 90.00
loop_
_space_group_symop_operation_xyz
'x,y,z'
'-y,x,z+1/4'
'-x,-y,z+1/2'
'y,-x,z+3/4'
'x,-y,-z+1/2'
'-y,-x,-z+1/4'
'-x,y,-z'
'y,x,-z+3/4'
loop_
_atom_site_label
_atom_site_fract_x
_atom_site_fract_y
_atom_site_fract_z
Al1 0.000 0.251 0.000
Fe1 0.253 0.253 0.375
Fe2 0.258 0.500 0.750
Se1 0.023 0.262 0.752
Se2 0.260 0.484 0.986
# crystal system	tetragonal
# total DFT energy (no corrections)	-5.276	eV per atom

No. 4
# SrTmGe2 PBE-GGA relaxed
data_SrTmGe2
_space_group_name_H-M_alt 'A m m 2'
_space_group_IT_number 38
_cell_length_a 3.331
_cell_length_b 5.996
_cell_length_c 11.877
_cell_angle_alpha 90.00
_cell_angle_beta 90.00
_cell_angle_gamma 90.00
loop_
_space_group_symop_operation_xyz
'x,y,z'
'-x,-y,z'
'-x,y,z'
'x,-y,z'
'x,y+1/2,z+1/2'
'-x,-y+1/2,z+1/2'
'-x,y+1/2,z+1/2'
'x,-y+1/2,z+1/2'
loop_
_atom_site_label
_atom_site_fract_x
_atom_site_fract_y
_atom_site_fract_z
Sr1 0.000 0.000 0.000
Tm1 0.000 0.000 0.701
Ge1 0.000 0.000 0.259
Ge2 0.000 0.000 0.467
# crystal system	orthorhombic
# total DFT energy (no corrections)	-3.720	eV per atom